Crystalline GaAg2Au2 at its relaxed geometry. Source: Alexandria via LeMat-Bulk, functional PBE-GGA.

The structure in extended XYZ format:
```
10
Lattice="6.9939 0.0000 0.0000 0.0000 6.9939 0.0000 0.0000 0.0000 3.9130" Properties=species:S:1:pos:R:3 pbc="T T T"
Ga 0.0000 0.0000 0.0000
Ga 3.4969 3.4969 0.0000
Ag 1.0325 2.4644 0.0000
Ag 2.4644 5.9614 0.0000
Ag 4.5295 1.0325 0.0000
Ag 5.9614 4.5295 0.0000
Au 1.0600 4.5569 1.9565
Au 2.4370 1.0600 1.9565
Au 4.5569 5.9339 1.9565
Au 5.9339 2.4370 1.9565
```

Summary:
Calculated formation energy, kJ/mol of atoms: 6
Calculated volume, Å³ per cell: 191
Space group: P4/mbm
Uncorrected energy, eV per atom: -2.996
Excess energy over the best structure of this formula in the dataset, meV per atom: 144
Total magnetic moment, μB/atom: 0.000